This record from the Alexandria database describes Rb2CrCuF6 after structural relaxation. The functional is GGA+U.

Cell: 6.2472 6.2472 7.9634 Å, 90.00 90.00 90.00°
Space group I4/mmm (No. 139)
Inequivalent atoms, fractional coordinates:
Rb 0.0000 0.5000 0.2500 [4 per cell]
Cr 0.0000 0.0000 0.0000 [2 per cell]
Cu 0.0000 0.0000 0.5000 [2 per cell]
F 0.0000 0.0000 0.2516 [4 per cell]
F 0.2222 0.2222 0.0000 [8 per cell]

Output
- DOS at the Fermi energy (states/eV/cell) = 0.0
- spin magnetization (μB/cell) = 6.00
- total energy (eV/atom) = -4.938